! TbCr2CdO8 | the Alexandria database | PBE with a Hubbard U | optimized geometry; values from VASP
&SYSTEM
  ibrav = 0, nat = 12, ntyp = 4
/
ATOMIC_SPECIES
Tb 158.93 Tb.upf
Cr 52.00 Cr.upf
Cd 112.41 Cd.upf
O 16.00 O.upf
CELL_PARAMETERS angstrom
-3.628 3.628 3.146
3.628 -3.628 3.146
3.628 3.628 -3.146
ATOMIC_POSITIONS crystal
Tb 0.000 0.000 0.000
Cr 0.250 0.750 0.500
Cr 0.500 0.500 0.000
Cd 0.750 0.250 0.500
O 0.084 0.395 0.311
O 0.084 0.773 0.689
O 0.155 0.334 0.821
O 0.227 0.916 0.311
O 0.512 0.334 0.179
O 0.605 0.916 0.689
O 0.666 0.488 0.821
O 0.666 0.845 0.179
! - volume (Å³/cell) = 165.7
! - total energy (eV per atom) = -6.75
! - magnetization (μB per atom) = 0.083